A plane-wave DFT calculation with GGA-PBE was carried out for an optimized crystal structure of Tb2Zn.

a b c (Å): 8.6991 8.6991 8.6991
angles (deg): 60.00 60.00 60.00
Element x y z (fractional)
Tb: 0.3750 0.3750 0.3750
Tb: 0.3750 0.8750 0.3750
Tb: 0.8750 0.3750 0.3750
Tb: 0.3750 0.3750 0.8750
Zn: 0.2500 0.2500 0.2500
Zn: 0.5000 0.5000 0.5000

Its total DFT energy (no corrections) is -2.065 eV per atom. As for the total magnetization: 0.3 μB per formula unit. As for the energy relative to the elements: 1.442 eV/atom.